First-principles (PBE+U) data for an optimized crystal structure of Mn2CO, as listed in Alexandria.

```
4
Lattice="0.000 2.780 2.780 2.780 0.000 2.780 2.780 2.780 0.000" Properties=species:S:1:pos:R:3 pbc="T T T"
Mn 1.390 1.390 1.390
Mn 4.171 4.171 4.171
C 0.000 0.000 0.000
O 2.780 2.780 2.780
```

Results
The density of states at the Fermi level comes out at 0.55 states/eV per cell. Its energy above the lowest structure with this stoichiometry is 467 meV/atom.